Density functional theory data (GGA-PBE) for a relaxed Na2TcAsO6 crystal.

Cell and atoms, written as CIF:
```
data_Na2TcAsO6
_chemical_formula_sum 'Na2 Tc1 As1 O6'
_space_group_name_H-M_alt 'P 4 m m'
_space_group_IT_number 99
_cell_length_a 5.394
_cell_length_b 5.394
_cell_length_c 4.905
_cell_angle_alpha 90.00
_cell_angle_beta 90.00
_cell_angle_gamma 90.00
loop_
_space_group_symop_operation_xyz
'x,y,z'
'-y,x,z'
'-x,-y,z'
'y,-x,z'
'-x,y,z'
'y,x,z'
'x,-y,z'
'-y,-x,z'
loop_
_atom_site_label
_atom_site_type_symbol
_atom_site_fract_x
_atom_site_fract_y
_atom_site_fract_z
_atom_site_occupancy
Na1 Na 0.000 0.500 0.000 1
Tc1 Tc 0.000 0.000 0.570 1
As1 As 0.500 0.500 0.563 1
O1 O 0.000 0.000 0.210 1
O2 O 0.235 0.235 0.679 1
O3 O 0.500 0.500 0.215 1
```

V, Å³/cell: 143
Crystal system: tetragonal
Formation energy (no corrections), meV per atom: -1375.4